[1]
The following is a DFT calculation (PBE) of a relaxed structure of Ac2As7Pd12.

abc: 10.1384 10.1384 4.2899
angles: 90.00 90.00 120.00
Fractional coordinates of all 21 atoms:
Ac 0.3333 0.6667 0.2457
Ac 0.6667 0.3333 0.7543
As 0.0000 0.0000 0.5000
As 0.1071 0.7052 0.7440
As 0.2948 0.4019 0.7440
As 0.4019 0.1071 0.2560
As 0.5981 0.8929 0.7440
As 0.7052 0.5981 0.2560
As 0.8929 0.2948 0.2560
Pd 0.0580 0.4353 0.7468
Pd 0.1140 0.2498 0.2211
Pd 0.1358 0.8860 0.2211
Pd 0.2498 0.1358 0.7789
Pd 0.3772 0.9420 0.7468
Pd 0.4353 0.3772 0.2532
Pd 0.5647 0.6228 0.7468
Pd 0.6228 0.0580 0.2532
Pd 0.7502 0.8642 0.2211
Pd 0.8642 0.1140 0.7789
Pd 0.8860 0.7502 0.7789
Pd 0.9420 0.5647 0.2532

energy relative to the elements: -637 meV/atom
space group: P-3
volume: 381.9 Å³ per cell

[2]
The following is a DFT calculation (PBE) of a relaxed structure of Ac2Ge2Rh5.

abc: 4.3358 4.3358 9.2991
angles: 90.00 90.00 90.00
Fractional coordinates of all 9 atoms:
Ac 0.0000 0.0000 0.0000
Ac 0.0000 0.0000 0.5000
Ge 0.5000 0.5000 0.1505
Ge 0.5000 0.5000 0.8495
Rh 0.0000 0.5000 0.2686
Rh 0.0000 0.5000 0.7314
Rh 0.5000 0.0000 0.2686
Rh 0.5000 0.0000 0.7314
Rh 0.5000 0.5000 0.5000

energy relative to the elements: -663 meV/atom
space group: P4/mmm
volume: 174.8 Å³ per cell

[3]
The following is a DFT calculation (PBE) of a relaxed structure of TaCu2Se2.

abc: 6.8949 6.8949 3.3638
angles: 90.00 90.00 90.00
Fractional coordinates of all 10 atoms:
Ta 0.0000 0.0000 0.0000
Ta 0.5000 0.5000 0.0000
Cu 0.1244 0.3756 0.0000
Cu 0.3756 0.8756 0.0000
Cu 0.6244 0.1244 0.0000
Cu 0.8756 0.6244 0.0000
Se 0.1851 0.6851 0.5000
Se 0.3149 0.1851 0.5000
Se 0.6851 0.8149 0.5000
Se 0.8149 0.3149 0.5000

raw formation energy: 0.227 eV per atom
space group: P4/mbm
energy above the lowest structure with this stoichiometry: 0 meV per atom
volume: 159.9 Å³ per cell

[4]
The following is a DFT calculation (PBE) of a relaxed structure of ZrAlFe4.

abc: 4.8454 4.8454 4.8454
angles: 60.00 60.00 60.00
Fractional coordinates of all 6 atoms:
Zr 0.0000 0.0000 0.0000
Al 0.7500 0.7500 0.7500
Fe 0.3760 0.3760 0.3760
Fe 0.3760 0.3760 0.8720
Fe 0.3760 0.8720 0.3760
Fe 0.8720 0.3760 0.3760

energy relative to the elements: -299 meV/atom
space group: F-43m
volume: 80.4 Å³ per cell